## YSiBC2 (GGA-PBE)

Data for a relaxed YSiBC2 crystal.

a = 4.457 Å, b = 4.457 Å, c = 4.720 Å
α = 90.00°, β = 90.00°, γ = 90.00°
Fractional coordinates of all 5 atoms:
Y  0.000  0.000  0.000
Si  0.500  0.500  0.500
B  0.000  0.000  0.500
C  0.000  0.500  0.000
C  0.500  0.000  0.000

- density (Mg/m³) = 2.7
- SG = P4/mmm
- total energy (eV/atom) = -4.6976
- formation energy without anion corrections (eV/atom) = 2.70

=====

## Sm4B5C2 (GGA-PBE)

Data for a relaxed Sm4B5C2 crystal.

a = 6.712 Å, b = 3.721 Å, c = 6.833 Å
α = 90.00°, β = 92.28°, γ = 90.00°
Fractional coordinates of all 11 atoms:
Sm  0.226  0.000  0.389
Sm  0.242  0.000  0.921
Sm  0.758  0.000  0.079
Sm  0.774  0.000  0.611
B  0.101  0.500  0.703
B  0.341  0.500  0.660
B  0.500  0.500  0.500
B  0.659  0.500  0.340
B  0.899  0.500  0.297
C  0.031  0.500  0.110
C  0.969  0.500  0.890

- ΔE_f (eV per atom) = -0.176
- density (Mg/m³) = 6.6
- SG = P2/m
- total energy (eV/atom) = -6.6039

=====

## SmB3C (GGA-PBE)

Data for a relaxed SmB3C crystal.

a = 3.733 Å, b = 7.455 Å, c = 3.992 Å
α = 90.00°, β = 90.00°, γ = 90.00°
Fractional coordinates of all 10 atoms:
Sm  0.000  0.158  0.000
Sm  0.500  0.842  0.500
B  0.000  0.721  0.146
B  0.250  0.405  0.374
B  0.250  0.595  0.874
B  0.500  0.279  0.646
B  0.750  0.405  0.374
B  0.750  0.595  0.874
C  0.000  0.582  0.516
C  0.500  0.418  0.016

- ΔE_f (eV per atom) = 0.152
- density (Mg/m³) = 5.8
- SG = Pmn2_1
- total energy (eV/atom) = -6.6431

=====

## Sm3B3C2 (GGA-PBE)

Data for a relaxed Sm3B3C2 crystal.

a = 15.878 Å, b = 2.978 Å, c = 5.174 Å
α = 90.00°, β = 108.95°, γ = 90.00°
Fractional coordinates of all 16 atoms:
Sm  0.000  0.000  0.000
Sm  0.161  0.000  0.661
Sm  0.339  0.500  0.339
Sm  0.500  0.500  0.000
Sm  0.661  0.500  0.661
Sm  0.839  0.000  0.339
B  0.000  0.500  0.500
B  0.158  0.500  0.158
B  0.342  0.000  0.842
B  0.500  0.000  0.500
B  0.658  0.000  0.158
B  0.842  0.500  0.842
C  0.184  0.000  0.184
C  0.316  0.500  0.816
C  0.684  0.500  0.184
C  0.816  0.000  0.816

- ΔE_f (eV per atom) = -0.051
- density (Mg/m³) = 7.3
- SG = C2/m
- total energy (eV/atom) = -6.6306

=====

## SmB5C2 (GGA-PBE)

Data for a relaxed SmB5C2 crystal.

a = 4.507 Å, b = 5.330 Å, c = 6.622 Å
α = 90.00°, β = 90.00°, γ = 90.00°
Fractional coordinates of all 16 atoms:
Sm  0.000  0.000  0.000
Sm  0.500  0.500  0.500
B  0.000  0.500  0.500
B  0.205  0.000  0.374
B  0.205  0.000  0.626
B  0.295  0.500  0.126
B  0.295  0.500  0.874
B  0.500  0.000  0.000
B  0.705  0.500  0.126
B  0.705  0.500  0.874
B  0.795  0.000  0.374
B  0.795  0.000  0.626
C  0.000  0.500  0.266
C  0.000  0.500  0.734
C  0.500  0.000  0.234
C  0.500  0.000  0.766

- ΔE_f (eV per atom) = 0.430
- density (Mg/m³) = 4.8
- SG = Immm
- total energy (eV/atom) = -6.6397

=====

## Sm3BC3 (GGA-PBE)

Data for a relaxed Sm3BC3 crystal.

a = 7.129 Å, b = 7.129 Å, c = 5.315 Å
α = 90.00°, β = 90.00°, γ = 120.00°
Fractional coordinates of all 14 atoms:
Sm  0.066  0.363  0.250
Sm  0.297  0.934  0.250
Sm  0.363  0.297  0.750
Sm  0.637  0.703  0.250
Sm  0.703  0.066  0.750
Sm  0.934  0.637  0.750
B  0.333  0.667  0.750
B  0.667  0.333  0.250
C  0.111  0.421  0.750
C  0.310  0.889  0.750
C  0.421  0.310  0.250
C  0.579  0.690  0.750
C  0.690  0.111  0.250
C  0.889  0.579  0.250

- ΔE_f (eV per atom) = -0.173
- density (Mg/m³) = 7.1
- SG = P6_3/m
- total energy (eV/atom) = -7.1023

=====

## Sm2B3C (GGA-PBE)

Data for a relaxed Sm2B3C crystal.

a = 3.185 Å, b = 4.125 Å, c = 5.522 Å
α = 90.00°, β = 90.00°, γ = 90.00°
Fractional coordinates of all 6 atoms:
Sm  0.000  0.000  0.000
Sm  0.500  0.000  0.491
B  0.000  0.500  0.323
B  0.000  0.500  0.668
B  0.500  0.500  0.837
C  0.500  0.500  0.156

- ΔE_f (eV per atom) = -0.310
- density (Mg/m³) = 7.9
- SG = Pmm2
- total energy (eV/atom) = -6.7592

=====

## Sm2B3C4 (GGA-PBE)

Data for a relaxed Sm2B3C4 crystal.

a = 6.331 Å, b = 6.331 Å, c = 7.612 Å
α = 90.00°, β = 90.00°, γ = 137.40°
Fractional coordinates of all 18 atoms:
Sm  0.126  0.874  0.919
Sm  0.374  0.626  0.419
Sm  0.626  0.374  0.581
Sm  0.874  0.126  0.081
B  0.000  0.000  0.500
B  0.064  0.436  0.750
B  0.436  0.064  0.250
B  0.500  0.500  0.000
B  0.564  0.936  0.750
B  0.936  0.564  0.250
C  0.203  0.297  0.750
C  0.245  0.755  0.664
C  0.255  0.745  0.164
C  0.297  0.203  0.250
C  0.703  0.797  0.750
C  0.745  0.255  0.836
C  0.755  0.245  0.336
C  0.797  0.703  0.250

- ΔE_f (eV per atom) = 0.541
- density (Mg/m³) = 6.1
- SG = Cmce
- total energy (eV/atom) = -6.8326